(1)
## Y2TmSc (PBE)

Data for Y2TmSc after structural relaxation.

Properties
Theoretical density ... 5.5 g/cm³
E_form ... 55.1 meV/atom
Polymorph energy (0 for the lowest one) ... 36 meV/atom
Total DFT energy (no corrections) ... -0.2160 Ha/atom

Cell lengths 11.4548, 11.4548, 11.4548 Å; angles 17.51, 17.51, 17.51 degrees
With the nearest neighbours (Å) after each atom.
Sites, in units of the cell vectors:
Y 0.2475 0.2475 0.2475  3 Sc 3.39, 6 Y 3.49, 3 Tm 3.53
Y 0.7525 0.7525 0.7525  3 Sc 3.39, 6 Y 3.49, 3 Tm 3.53
Tm 0.0000 0.0000 0.0000  6 Tm 3.49, 6 Y 3.53
Sc 0.5000 0.5000 0.5000  6 Y 3.39, 6 Sc 3.49

=====

(2)
## Y2TmSc6 (PBE)

Data for Y2TmSc6 after structural relaxation.

Properties
Theoretical density ... 4.3 g/cm³
E_form ... 65.9 meV/atom
Total DFT energy (no corrections) ... -0.2237 Ha/atom

Cell lengths 9.1580, 9.1580, 3.3144 Å; angles 90.00, 90.00, 120.00 degrees
With the nearest neighbours (Å) after each atom.
Sites, in units of the cell vectors:
Y 0.3333 0.6667 0.0000  2 Y 3.31, 12 Sc 3.48
Y 0.6667 0.3333 0.0000  2 Y 3.31, 12 Sc 3.48
Tm 0.0000 0.0000 0.0000  2 Tm 3.31, 12 Sc 3.46
Sc 0.0000 0.3321 0.5000  5 Sc 3.04-3.31
Sc 0.0000 0.6679 0.5000  5 Sc 3.04-3.31
Sc 0.3321 0.0000 0.5000  5 Sc 3.04-3.31
Sc 0.3321 0.3321 0.5000  5 Sc 3.04-3.31
Sc 0.6679 0.0000 0.5000  5 Sc 3.04-3.31
Sc 0.6679 0.6679 0.5000  5 Sc 3.04-3.31

=====

(3)
## YTmSc (PBE)

Data for YTmSc after structural relaxation.

Properties
Theoretical density ... 5.8 g/cm³
E_form ... 77.7 meV/atom
Polymorph energy (0 for the lowest one) ... 27 meV/atom
Total DFT energy (no corrections) ... -0.2087 Ha/atom

Cell lengths 5.4212, 5.4212, 3.4045 Å; angles 90.00, 90.00, 120.00 degrees
With the nearest neighbours (Å) after each atom.
Sites, in units of the cell vectors:
Y 0.0000 0.0000 0.0000  2 Y 3.40, 6 Sc 3.56, 6 Tm 3.56
Tm 0.3333 0.6667 0.5000  3 Sc 3.13, 2 Tm 3.40
Sc 0.6667 0.3333 0.5000  3 Tm 3.13, 2 Sc 3.40

=====

(4)
## YTm6Sc (PBE)

Data for YTm6Sc after structural relaxation.

Properties
Theoretical density ... 8.0 g/cm³
E_form ... 197.5 meV/atom
Polymorph energy (0 for the lowest one) ... 0 meV/atom
Total DFT energy (no corrections) ... -0.1748 Ha/atom

Cell lengths 6.2689, 6.2729, 6.2740 Å; angles 97.61, 97.69, 97.79 degrees
With the nearest neighbours (Å) after each atom.
Sites, in units of the cell vectors:
Y 0.0000 0.0000 0.0000  12 Tm 3.43-3.65
Tm 0.0511 0.5621 0.2674  1 Sc 3.09, 4 Tm 3.24-3.37, 1 Y 3.43
Tm 0.2673 0.0509 0.5623  1 Sc 3.09, 4 Tm 3.24-3.37, 1 Y 3.43
Tm 0.4381 0.7327 0.9489  1 Sc 3.09, 4 Tm 3.24-3.37, 1 Y 3.43
Tm 0.5619 0.2673 0.0511  1 Sc 3.09, 4 Tm 3.24-3.37, 1 Y 3.43
Tm 0.7327 0.9491 0.4377  1 Sc 3.09, 4 Tm 3.24-3.37, 1 Y 3.43
Tm 0.9489 0.4379 0.7326  1 Sc 3.09, 4 Tm 3.24-3.37, 1 Y 3.43
Sc 0.5000 0.5000 0.5000  6 Tm 3.09

=====

(5)
## Y2Tm4Sc5 (PBE)

Data for Y2Tm4Sc5 after structural relaxation.

Properties
Theoretical density ... 5.8 g/cm³
E_form ... 56.6 meV/atom
Total DFT energy (no corrections) ... -0.2066 Ha/atom

Cell lengths 10.7853, 10.7853, 8.4850 Å; angles 106.15, 106.15, 19.00 degrees
With the nearest neighbours (Å) after each atom.
Sites, in units of the cell vectors:
Y 0.1139 0.1139 0.4771  5 Sc 3.31-3.45, 5 Tm 3.47-3.58, 2 Y 3.56
Y 0.8861 0.8861 0.5229  5 Sc 3.31-3.45, 5 Tm 3.47-3.58, 2 Y 3.56
Tm 0.1798 0.1798 0.9012  5 Sc 3.30-3.56, 1 Y 3.47, 6 Tm 3.48-3.56
Tm 0.4667 0.4667 0.2811  2 Sc 3.21, 4 Y 3.51-3.58, 5 Tm 3.54-3.58
Tm 0.5333 0.5333 0.7189  2 Sc 3.21, 4 Y 3.51-3.58, 5 Tm 3.54-3.58
Tm 0.8202 0.8202 0.0988  5 Sc 3.30-3.56, 1 Y 3.47, 6 Tm 3.48-3.56
Sc 0.0000 0.0000 0.0000  4 Sc 3.08, 4 Tm 3.21
Sc 0.2458 0.2458 0.3359  6 Sc 3.23-3.56, 3 Y 3.35-3.45, 3 Tm 3.39-3.56
Sc 0.3801 0.3801 0.8478  4 Sc 3.08-3.23, 2 Tm 3.30, 2 Y 3.31
Sc 0.6199 0.6199 0.1522  4 Sc 3.08-3.23, 2 Tm 3.30, 2 Y 3.31
Sc 0.7542 0.7542 0.6641  6 Sc 3.23-3.56, 3 Y 3.35-3.45, 3 Tm 3.39-3.56

=====

(6)
## Y2TmSc (PBE)

Data for Y2TmSc after structural relaxation.

Properties
Theoretical density ... 5.5 g/cm³
E_form ... 46.8 meV/atom
Polymorph energy (0 for the lowest one) ... 27 meV/atom
Total DFT energy (no corrections) ... -0.2163 Ha/atom

Cell lengths 3.5028, 3.5028, 9.6874 Å; angles 90.00, 90.00, 90.00 degrees
With the nearest neighbours (Å) after each atom.
Sites, in units of the cell vectors:
Y 0.0000 0.0000 0.2410  4 Sc 3.40, 4 Y 3.50, 4 Tm 3.53
Y 0.0000 0.0000 0.7590  4 Sc 3.40, 4 Y 3.50, 4 Tm 3.53
Tm 0.5000 0.5000 0.5000  4 Tm 3.50, 8 Y 3.53
Sc 0.5000 0.5000 0.0000  8 Y 3.40, 4 Sc 3.50

=====

(7)
## Y3Tm4Sc4 (PBE)

Data for Y3Tm4Sc4 after structural relaxation.

Properties
Theoretical density ... 5.8 g/cm³
E_form ... 143.9 meV/atom
Total DFT energy (no corrections) ... -0.2039 Ha/atom

Cell lengths 10.0064, 6.4727, 6.4727 Å; angles 49.73, 90.00, 90.00 degrees
With the nearest neighbours (Å) after each atom.
Sites, in units of the cell vectors:
Y 0.0000 0.0000 0.0000  5 Tm 3.41-3.63, 7 Sc 3.43-3.57, 2 Y 3.51
Y 0.3064 0.1463 0.1463  4 Sc 3.34, 5 Tm 3.36-3.58, 1 Y 3.51
Y 0.6936 0.1463 0.1463  4 Sc 3.34, 5 Tm 3.36-3.58, 1 Y 3.51
Tm 0.0000 0.2959 0.2959  4 Sc 2.96-3.22
Tm 0.2877 0.8438 0.8438  4 Sc 3.22-3.40, 4 Y 3.41-3.58, 2 Tm 3.48
Tm 0.5000 0.3795 0.3795  3 Sc 3.03-3.26, 2 Y 3.36
Tm 0.7123 0.8438 0.8438  4 Sc 3.22-3.40, 4 Y 3.41-3.58, 2 Tm 3.48
Sc 0.0000 0.6967 0.6967  2 Tm 2.96, 2 Sc 3.08
Sc 0.2090 0.5042 0.5042  2 Sc 3.08-3.31, 4 Tm 3.22-3.40, 4 Y 3.34-3.43
Sc 0.5000 0.6378 0.6378  3 Tm 3.03-3.22, 2 Sc 3.31, 4 Y 3.34
Sc 0.7910 0.5042 0.5042  2 Sc 3.08-3.31, 4 Tm 3.22-3.40, 4 Y 3.34-3.43

=====

(8)
## Y2Tm5Sc (PBE)

Data for Y2Tm5Sc after structural relaxation.

Properties
Theoretical density ... 7.4 g/cm³
E_form ... 43.4 meV/atom
Polymorph energy (0 for the lowest one) ... 0 meV/atom
Total DFT energy (no corrections) ... -0.1896 Ha/atom

Cell lengths 6.9633, 6.9633, 6.9633 Å; angles 120.04, 119.97, 89.99 degrees
With the nearest neighbours (Å) after each atom.
Sites, in units of the cell vectors:
Y 0.0000 0.0000 0.0000  2 Sc 3.48, 8 Tm 3.48, 2 Y 3.48
Y 0.5000 0.0000 0.5000  10 Tm 3.48, 2 Y 3.48
Tm 0.0000 0.0000 0.5000  6 Tm 3.48, 2 Sc 3.48, 4 Y 3.48
Tm 0.0000 0.5000 0.0000  6 Tm 3.48, 2 Sc 3.48, 4 Y 3.48
Tm 0.5000 0.0000 0.0000  6 Tm 3.48, 2 Sc 3.48, 4 Y 3.48
Tm 0.5000 0.5000 0.0000  2 Y 3.48, 8 Tm 3.48, 2 Sc 3.48
Tm 0.5000 0.5000 0.5000  6 Tm 3.48, 2 Sc 3.48, 4 Y 3.48
Sc 0.0000 0.5000 0.5000  2 Y 3.48, 10 Tm 3.48

=====

(9)
## YTmSc3 (PBE)

Data for YTmSc3 after structural relaxation.

Properties
Theoretical density ... 4.7 g/cm³
E_form ... 177.6 meV/atom
Polymorph energy (0 for the lowest one) ... 154 meV/atom
Total DFT energy (no corrections) ... -0.2135 Ha/atom

Cell lengths 6.4428, 6.4428, 7.6128 Å; angles 103.05, 103.05, 66.13 degrees
With the nearest neighbours (Å) after each atom.
Sites, in units of the cell vectors:
Y 0.1122 0.1122 0.2198  7 Sc 3.33-3.69, 1 Tm 3.42, 1 Y 3.56
Y 0.8878 0.8878 0.7802  7 Sc 3.33-3.69, 1 Tm 3.42, 1 Y 3.56
Tm 0.3489 0.3489 0.9986  6 Sc 3.08-3.43, 1 Tm 3.26, 1 Y 3.42
Tm 0.6511 0.6511 0.0014  6 Sc 3.08-3.43, 1 Tm 3.26, 1 Y 3.42
Sc 0.0720 0.6558 0.3353  3 Sc 2.92-3.25, 1 Tm 3.25
Sc 0.3442 0.9280 0.6647  3 Sc 2.92-3.25, 1 Tm 3.25
Sc 0.3965 0.3965 0.6175  5 Sc 2.92-3.25, 1 Tm 3.08
Sc 0.6035 0.6035 0.3825  5 Sc 2.92-3.25, 1 Tm 3.08
Sc 0.6558 0.0720 0.3353  3 Sc 2.92-3.25, 1 Tm 3.25
Sc 0.9280 0.3442 0.6647  3 Sc 2.92-3.25, 1 Tm 3.25

=====

(10)
## YTm3Sc7 (PBE)

Data for YTm3Sc7 after structural relaxation.

Properties
Theoretical density ... 5.0 g/cm³
E_form ... 295.0 meV/atom
Total DFT energy (no corrections) ... -0.2036 Ha/atom

Cell lengths 7.9407, 7.9407, 7.9407 Å; angles 140.18, 98.34, 94.99 degrees
With the nearest neighbours (Å) after each atom.
Sites, in units of the cell vectors:
Y 0.0000 0.0000 0.0000  2 Sc 2.70
Tm 0.2906 0.5000 0.7906  5 Sc 3.02-3.22
Tm 0.5000 0.0000 0.5000  4 Sc 3.05
Tm 0.7094 0.5000 0.2094  5 Sc 3.02-3.22
Sc 0.0000 0.5000 0.5000  2 Y 2.70, 2 Tm 3.02
Sc 0.0936 0.7847 0.3090  2 Tm 3.05-3.22, 5 Sc 3.06-3.35
Sc 0.2928 0.2928 0.0000  2 Tm 3.11, 1 Y 3.14, 6 Sc 3.31-3.35
Sc 0.4757 0.7847 0.6910  2 Tm 3.05-3.22, 5 Sc 3.06-3.35
Sc 0.5243 0.2153 0.3090  2 Tm 3.05-3.22, 5 Sc 3.06-3.35
Sc 0.7072 0.7072 0.0000  2 Tm 3.11, 1 Y 3.14, 6 Sc 3.31-3.35
Sc 0.9064 0.2153 0.6910  2 Tm 3.05-3.22, 5 Sc 3.06-3.35

=====

Which of these has the lowest theoretical density? Y2TmSc6

=====

Which of these has the lowest E_form? Y2Tm5Sc

=====

Please write out number 9 again, unchanged.
## YTmSc3 (PBE)

Data for YTmSc3 after structural relaxation.

Properties
Theoretical density ... 4.7 g/cm³
E_form ... 177.6 meV/atom
Polymorph energy (0 for the lowest one) ... 154 meV/atom
Total DFT energy (no corrections) ... -0.2135 Ha/atom

Cell lengths 6.4428, 6.4428, 7.6128 Å; angles 103.05, 103.05, 66.13 degrees
With the nearest neighbours (Å) after each atom.
Sites, in units of the cell vectors:
Y 0.1122 0.1122 0.2198  7 Sc 3.33-3.69, 1 Tm 3.42, 1 Y 3.56
Y 0.8878 0.8878 0.7802  7 Sc 3.33-3.69, 1 Tm 3.42, 1 Y 3.56
Tm 0.3489 0.3489 0.9986  6 Sc 3.08-3.43, 1 Tm 3.26, 1 Y 3.42
Tm 0.6511 0.6511 0.0014  6 Sc 3.08-3.43, 1 Tm 3.26, 1 Y 3.42
Sc 0.0720 0.6558 0.3353  3 Sc 2.92-3.25, 1 Tm 3.25
Sc 0.3442 0.9280 0.6647  3 Sc 2.92-3.25, 1 Tm 3.25
Sc 0.3965 0.3965 0.6175  5 Sc 2.92-3.25, 1 Tm 3.08
Sc 0.6035 0.6035 0.3825  5 Sc 2.92-3.25, 1 Tm 3.08
Sc 0.6558 0.0720 0.3353  3 Sc 2.92-3.25, 1 Tm 3.25
Sc 0.9280 0.3442 0.6647  3 Sc 2.92-3.25, 1 Tm 3.25

=====

Which formula does entry 8 have? Y2Tm5Sc